Record 1
Density functional theory data (GGA-PBE) for crystalline Sr2GaPt3 at its relaxed geometry.

The structure in POSCAR format:
```
Sr2GaPt3
1.0
4.335 0.000 0.000
0.000 5.713 0.000
-2.167 -2.856 5.933
Pt Sr Ga
3 2 1
Direct
0.000 0.000 0.000
0.616 0.616 0.231
0.384 0.384 0.769
0.319 0.819 0.638
0.681 0.181 0.362
0.000 0.500 0.000
```

Summary:
SG: No. 71
Spin magnetization in μB/f.u.: 0.0
Formation enthalpy at 0 K in kJ/mol of atoms: -48.7
Volume in Å³/f.u.: 146.9

Record 2
Density functional theory data (GGA-PBE) for crystalline Sr2Ga4Pt3 at its relaxed geometry.

The structure in POSCAR format:
```
Sr2Ga4Pt3
1.0
-4.036 -0.732 -4.016
4.435 -5.616 -3.434
-1.454 -5.122 6.499
Ga Sr Pt
8 4 6
Direct
0.312 0.250 0.125
0.812 0.250 0.125
0.812 0.017 0.625
0.188 0.750 0.875
0.312 0.483 0.625
0.688 0.517 0.375
0.188 0.983 0.375
0.688 0.750 0.875
0.891 0.398 0.781
0.391 0.102 0.781
0.109 0.602 0.219
0.609 0.898 0.219
0.500 0.500 0.000
0.475 0.250 0.450
0.975 0.250 0.450
0.525 0.750 0.550
0.025 0.750 0.550
0.000 0.000 0.000
```

Summary:
SG: No. 64
Spin magnetization in μB/f.u.: 0.0
Formation enthalpy at 0 K in kJ/mol of atoms: -71.0
Volume in Å³/f.u.: 179.9

Record 3
Density functional theory data (GGA-PBE) for crystalline SrGa2Pt6 at its relaxed geometry.

The structure in POSCAR format:
```
SrGa2Pt6
1.0
-7.925 1.496 0.623
-5.268 -6.134 0.229
-3.913 -1.717 6.869
Ga Sr Pt
4 2 12
Direct
0.125 0.125 0.125
0.625 0.125 0.125
0.125 0.625 0.125
0.125 0.125 0.625
0.750 0.750 0.750
0.500 0.500 0.500
0.246 0.754 0.246
0.754 0.754 0.246
0.004 0.004 0.496
0.246 0.246 0.754
0.246 0.754 0.754
0.004 0.496 0.004
0.004 0.496 0.496
0.496 0.496 0.004
0.754 0.246 0.246
0.754 0.246 0.754
0.496 0.004 0.496
0.496 0.004 0.004
```

Summary:
SG: No. 227
Spin magnetization in μB/f.u.: 0.0
Formation enthalpy at 0 K in kJ/mol of atoms: -25.8
Volume in Å³/f.u.: 187.1

Record 4
Density functional theory data (GGA-PBE) for crystalline SrGaPt2 at its relaxed geometry.

The structure in POSCAR format:
```
SrGaPt2
1.0
-1.958 1.406 4.501
-4.432 -2.212 -1.237
-0.573 -7.542 5.003
Ga Pt Sr
2 4 2
Direct
0.500 0.500 0.000
0.250 0.750 0.500
0.418 0.125 0.250
0.375 0.582 0.750
0.332 0.625 0.250
0.875 0.668 0.750
0.750 0.250 0.500
0.000 0.000 0.000
```

Summary:
SG: No. 122
Spin magnetization in μB/f.u.: 0.0
Formation enthalpy at 0 K in kJ/mol of atoms: -58.6
Volume in Å³/f.u.: 108.4

Record 5
Density functional theory data (GGA-PBE) for crystalline SrGa2Pt4 at its relaxed geometry.

The structure in POSCAR format:
```
SrGa2Pt4
1.0
-1.745 -1.844 3.149
-4.873 -3.834 -4.946
5.239 -5.928 -0.567
Pt Ga Sr
8 4 2
Direct
0.000 0.337 0.083
0.500 0.163 0.583
0.000 0.083 0.337
0.000 0.917 0.663
0.000 0.663 0.917
0.500 0.417 0.837
0.500 0.837 0.417
0.500 0.583 0.163
0.500 0.724 0.724
0.500 0.276 0.276
0.000 0.776 0.224
0.000 0.224 0.776
0.000 0.500 0.500
0.500 0.000 0.000
```

Summary:
SG: No. 136
Spin magnetization in μB/f.u.: 0.0
Formation enthalpy at 0 K in kJ/mol of atoms: -72.6
Volume in Å³/f.u.: 127.2

Record 6
Density functional theory data (GGA-PBE) for crystalline Sr2Ga3Pt5 at its relaxed geometry.

The structure in POSCAR format:
```
Sr2Ga3Pt5
1.0
-5.959 -0.412 0.259
-2.324 -5.718 6.434
-2.981 4.277 7.232
Pt Ga Sr
10 6 4
Direct
0.372 0.238 0.018
0.033 0.717 0.717
0.467 0.283 0.283
0.750 0.500 0.500
0.872 0.018 0.238
0.128 0.982 0.762
0.628 0.762 0.982
0.967 0.283 0.283
0.250 0.500 0.500
0.533 0.717 0.717
0.750 0.000 0.000
0.250 0.000 0.000
0.108 0.248 0.537
0.608 0.537 0.248
0.892 0.752 0.463
0.392 0.463 0.752
0.639 0.095 0.627
0.139 0.627 0.095
0.361 0.905 0.373
0.861 0.373 0.905
```

Summary:
SG: No. 72
Spin magnetization in μB/f.u.: 0.0
Offset from the most stable computed form in eV/atom: 0.000
Formation enthalpy at 0 K in kJ/mol of atoms: -79.6
Volume in Å³/f.u.: 202.2

- Which of these has the lowest formation enthalpy at 0 K?
  Sr2Ga3Pt5

- What is the formula in the sixth record?
  Sr2Ga3Pt5